1.
YIrRh2 (meta-GGA SCAN, PBEsol geometry); SG = No. 12; ΔE to the lowest computed polymorph = 0.85 eV/f.u.
1.0
4.604 -1.458 0.000
4.604 1.458 0.000
-0.950 0.000 4.827
Y Ir Rh
1 1 2
direct
0.000 0.000 0.000
0.500 0.500 0.500
0.242 0.242 0.716
0.758 0.758 0.284

=====

2.
Y2IrRh (meta-GGA SCAN, PBEsol geometry); SG = No. 38; ΔE to the lowest computed polymorph = 0.42 eV/f.u.
1.0
4.146 0.000 0.000
0.000 1.902 5.218
0.000 -1.902 5.218
Y Ir Rh
2 1 1
direct
0.000 0.000 0.000
0.500 0.289 0.289
0.000 0.724 0.724
0.500 0.563 0.563

=====

3.
Y2IrRh (meta-GGA SCAN, PBEsol geometry); SG = No. 225; ΔE to the lowest computed polymorph = 0.00 eV/f.u.
1.0
0.000 3.379 3.379
3.379 0.000 3.379
3.379 3.379 0.000
Y Ir Rh
2 1 1
direct
0.250 0.250 0.250
0.750 0.750 0.750
0.000 0.000 0.000
0.500 0.500 0.500

=====

4.
ZnIrRh2 (meta-GGA SCAN, PBEsol geometry); DFT total energy = -38.174 eV/atom; SG = No. 166
1.0
1.348 0.778 8.598
-1.348 0.778 8.598
0.000 -1.556 8.598
Zn Ir Rh
1 1 2
direct
0.000 0.000 0.000
0.500 0.500 0.500
0.251 0.251 0.251
0.749 0.749 0.749

=====

| no. | V (Å³/cell) |
| --- | --- |
| 1 | 65 |
| 2 | 82 |
| 3 | 77 |
| 4 | 54 |